Below is an optimized crystal structure of Y2HgS2, with properties calculated at the PBE level.

CIF file:
```
data_Y2HgS2
_chemical_formula_sum 'Y4 Hg2 S4'
_cell_length_a 7.8820
_cell_length_b 7.8820
_cell_length_c 3.4898
_cell_angle_alpha 90.00
_cell_angle_beta 90.00
_cell_angle_gamma 90.00
_symmetry_space_group_name_H-M 'P 4/m b m'
_symmetry_Int_Tables_number 127
_symmetry_space_group_name_Hall '-P 4 2ab'
loop_
_atom_site_label
_atom_site_type_symbol
_atom_site_fract_x
_atom_site_fract_y
_atom_site_fract_z
Y1 Y 0.1586 0.3414 0.0000
Hg1 Hg 0.0000 0.0000 0.5000
S1 S 0.1356 0.6356 0.5000
```

## Properties
- Excess energy over the best structure of this formula in the dataset: 0.000 eV/atom
- VASP energy: -5.60 eV per atom
- ΔE_f (raw): -6.52 eV/f.u.